# KTl2VO6

A relaxed structure of KTl2VO6 (PBE with a Hubbard U, Alexandria).

Geometry as CIF:
```
data_KTl2VO6
_space_group_name_H-M_alt 'P 1'
_space_group_IT_number 1
_space_group_name_Hall 'P 1'
_cell_length_a 8.016
_cell_length_b 8.016
_cell_length_c 6.682
_cell_angle_alpha 105.31
_cell_angle_beta 105.31
_cell_angle_gamma 102.79
loop_
_atom_site_label
_atom_site_type_symbol
_atom_site_fract_x
_atom_site_fract_y
_atom_site_fract_z
_atom_site_occupancy
K1 K 0.106 0.894 0.750 1
K2 K 0.894 0.106 0.250 1
Tl1 Tl 0.286 0.452 0.849 1
Tl2 Tl 0.452 0.286 0.349 1
Tl3 Tl 0.548 0.714 0.651 1
Tl4 Tl 0.714 0.548 0.151 1
V1 V 0.183 0.817 0.250 1
V2 V 0.817 0.183 0.750 1
O1 O 0.028 0.220 0.708 1
O2 O 0.167 0.658 0.008 1
O3 O 0.220 0.028 0.208 1
O4 O 0.309 0.447 0.523 1
O5 O 0.342 0.833 0.492 1
O6 O 0.447 0.309 0.023 1
O7 O 0.553 0.691 0.977 1
O8 O 0.658 0.167 0.508 1
O9 O 0.691 0.553 0.477 1
O10 O 0.780 0.972 0.792 1
O11 O 0.833 0.342 0.992 1
O12 O 0.972 0.780 0.292 1
```

Output
As for the theoretical density: 5.21 g cm⁻³. The space-group type is No. 15. The total energy comes out at -111.48 eV per cell.